Computed, not measured: crystalline H2SeS at its relaxed geometry at the PBE-GGA level of DFT.

The calculation puts the total energy at -102.93 eV per cell. Its crystal system is cubic. The calculation puts the distance to the lowest polymorph of the same formula at 0.377 eV/atom.

The space group is Fd-3m (No. 227, origin choice 2) and the conventional cell measures 7.4374, 7.4374 and 7.4374 Å, with angles of 90.00, 90.00 and 90.00 degrees. The inequivalent atoms are H at (0.0000, 0.0000, 0.0000), Se at (0.1250, 0.1250, 0.6250) and S at (0.1250, 0.1250, 0.1250).

***

Computed, not measured: crystalline Y2AlNi at its relaxed geometry at the PBE-GGA level of DFT.

The calculation puts the total energy at -94.94 eV per cell. Its crystal system is orthorhombic. The calculation puts the formation energy at -0.32 eV per atom.

The space group is Cmcm (No. 63) and the conventional cell measures 3.4279, 11.6226 and 8.7672 Å, with angles of 90.00, 90.00 and 90.00 degrees. The inequivalent atoms are Y at (0.0000, 0.1303, 0.0640), Al at (0.0000, 0.4241, 0.2500) and Ni at (0.0000, 0.2329, 0.7500).

***

Computed, not measured: crystalline BaBeSe2 at its relaxed geometry at the PBE-GGA level of DFT.

The calculation puts the total energy at -32.15 eV per cell. Its formation energy without anion corrections is -0.8638 eV per atom. Its crystal system is orthorhombic.

The space group is Immm (No. 71) and the conventional cell measures 3.7267, 6.6003 and 8.4292 Å, with angles of 90.00, 90.00 and 90.00 degrees. The inequivalent atoms are Ba at (0.0000, 0.0000, 0.0000), Be at (0.0000, 0.0000, 0.5000) and Se at (0.0000, 0.5000, 0.1817).